1.
A relaxed structure of CsBa2Sr, computed with PBE.

Geometry as POSCAR:
```
CsBa2Sr
1.0
7.454 0.000 0.000
0.000 7.454 0.000
0.000 0.000 4.846
Cs Ba Sr
1 2 1
direct
0.000 0.000 0.000 Cs
0.000 0.500 0.500 Ba
0.500 0.000 0.500 Ba
0.500 0.500 0.000 Sr
```

Calculated values
**SG**: P4/mmm, No. 123
**E above lowest polymorph**: 6.0 kJ per mole of atoms

***

2.
A relaxed structure of CsBaSr, computed with PBE.

Geometry as POSCAR:
```
CsBaSr
1.0
4.543 0.000 0.000
-2.272 3.935 0.000
0.000 0.000 11.766
Cs Ba Sr
1 1 1
direct
0.000 0.000 0.000 Cs
0.333 0.667 0.643 Ba
0.667 0.333 0.346 Sr
```

Calculated values
**SG**: P3m1, No. 156
**E above lowest polymorph**: 0.0 kJ per mole of atoms

***

3.
A relaxed structure of CsBa2Sr6, computed with PBE.

Geometry as POSCAR:
```
CsBa2Sr6
1.0
4.329 0.000 0.000
-2.164 3.749 0.000
0.000 0.000 33.468
Cs Ba Sr
1 2 6
direct
0.000 0.000 0.000 Cs
0.667 0.333 0.334 Ba
0.667 0.333 0.666 Ba
0.000 0.000 0.225 Sr
0.000 0.000 0.440 Sr
0.000 0.000 0.560 Sr
0.000 0.000 0.775 Sr
0.667 0.333 0.122 Sr
0.667 0.333 0.878 Sr
```

Calculated values
**SG**: P-6m2, No. 187

***

4.
A relaxed structure of CsBaSr2, computed with PBE.

Geometry as POSCAR:
```
CsBaSr2
1.0
7.484 0.000 0.000
0.000 7.484 0.000
0.000 0.000 4.683
Cs Ba Sr
1 1 2
direct
0.000 0.000 0.000 Cs
0.500 0.500 0.000 Ba
0.000 0.500 0.500 Sr
0.500 0.000 0.500 Sr
```

Calculated values
**SG**: P4/mmm, No. 123
**E above lowest polymorph**: 5.0 kJ per mole of atoms

***

5.
A relaxed structure of CsBaSr2, computed with PBE.

Geometry as POSCAR:
```
CsBaSr2
1.0
0.000 5.105 5.105
5.105 0.000 5.105
5.105 5.105 0.000
Cs Ba Sr
1 1 2
direct
0.000 0.000 0.000 Cs
0.500 0.500 0.500 Ba
0.250 0.250 0.250 Sr
0.750 0.750 0.750 Sr
```

Calculated values
**SG**: Fm-3m, No. 225
**E above lowest polymorph**: 7.1 kJ per mole of atoms

***

6.
A relaxed structure of CsBaSr, computed with PBE.

Geometry as POSCAR:
```
CsBaSr
1.0
-2.242 2.242 10.726
2.242 -2.242 10.726
2.242 2.242 -10.726
Cs Ba Sr
1 1 1
direct
0.000 0.000 0.000 Cs
0.683 0.683 0.000 Ba
0.326 0.326 0.000 Sr
```

Calculated values
**SG**: I4mm, No. 107
**E above lowest polymorph**: 1.1 kJ per mole of atoms

***

7.
A relaxed structure of CsBa12Sr6, computed with PBE.

Geometry as POSCAR:
```
CsBa12Sr6
1.0
9.093 5.250 4.503
-9.093 5.250 4.503
0.000 -10.500 4.503
Cs Ba Sr
1 12 6
direct
0.000 0.000 0.000 Cs
0.099 0.361 0.361 Ba
0.113 0.500 0.887 Ba
0.113 0.887 0.500 Ba
0.361 0.099 0.361 Ba
0.361 0.361 0.099 Ba
0.500 0.113 0.887 Ba
0.500 0.887 0.113 Ba
0.639 0.639 0.901 Ba
0.639 0.901 0.639 Ba
0.887 0.113 0.500 Ba
0.887 0.500 0.113 Ba
0.901 0.639 0.639 Ba
0.310 0.689 0.689 Sr
0.311 0.311 0.690 Sr
0.311 0.690 0.311 Sr
0.689 0.310 0.689 Sr
0.689 0.689 0.310 Sr
0.690 0.311 0.311 Sr
```

Calculated values
**SG**: R-3m, No. 166

***

8.
A relaxed structure of CsBaSr2, computed with PBE.

Geometry as POSCAR:
```
CsBaSr2
1.0
4.423 0.000 0.000
0.000 4.423 0.000
0.000 0.000 13.686
Cs Ba Sr
1 1 2
direct
0.000 0.000 0.000 Cs
0.000 0.000 0.500 Ba
0.500 0.500 0.274 Sr
0.500 0.500 0.726 Sr
```

Calculated values
**SG**: P4/mmm, No. 123
**E above lowest polymorph**: 0.0 kJ per mole of atoms

***

Number 1: formation enthalpy at 0 K 0.149 eV per atom. Number 2: formation enthalpy at 0 K 0.112 eV per atom. Number 3: formation enthalpy at 0 K 0.076 eV per atom. Number 4: formation enthalpy at 0 K 0.148 eV per atom. Number 5: formation enthalpy at 0 K 0.170 eV per atom. Number 6: formation enthalpy at 0 K 0.123 eV per atom. Number 7: formation enthalpy at 0 K 0.229 eV per atom. Number 8: formation enthalpy at 0 K 0.096 eV per atom.